1.
YIn2As | meta-GGA SCAN | PBEsol geometry

Properties
V in Å³/cell: 102.1
Total magnetic moment in μB per formula unit: 0.00
DOS(E_F) in states/eV/f.u.: 3.56
VASP energy in eV per atom: -28.870
Energy relative to the elements in eV per atom: -0.168

Cell lengths 3.793, 3.793, 8.482 Å; angles 77.08, 77.08, 60.00 degrees
Sites, in units of the cell vectors:
1 As 0.000 0.000 0.000
2 Y 0.500 0.500 0.500
3 In 0.737 0.737 0.789
4 In 0.263 0.263 0.211


2.
Fe2IrOs | meta-GGA SCAN | PBEsol geometry

Properties
V in Å³/cell: 52.1
Total magnetic moment in μB per formula unit: 6.72
DOS(E_F) in states/eV/f.u.: 3.58
VASP energy in eV per atom: -44.689
Energy relative to the elements in eV per atom: 0.121

Cell lengths 4.193, 4.193, 4.193 Å; angles 60.00, 60.00, 60.00 degrees
Site moments in Bohr magnetons follow the coordinates.
Sites, in units of the cell vectors:
1 Fe 0.750 0.750 0.750  3.01
2 Fe 0.000 0.000 0.000  2.91
3 Ir 0.500 0.500 0.500  0.40
4 Os 0.250 0.250 0.250  0.45